1.
{
  "formula": "LaSm2RhN4",
  "functional": "PBE",
  "state": "relaxed",
  "cell": [[-1.471, -0.050, 3.186], [5.214, -3.454, 0.421], [6.144, 9.639, 2.987]],
  "species": ["La", "La", "Sm", "Sm", "Sm", "Sm", "Rh", "Rh", "N", "N", "N", "N", "N", "N", "N", "N"],
  "fractional_positions": [[0.110, 0.220, 0.750], [0.890, 0.780, 0.250], [0.370, 0.740, 0.546], [0.630, 0.260, 0.046], [0.630, 0.260, 0.454], [0.370, 0.740, 0.954], [0.848, 0.696, 0.750], [0.152, 0.304, 0.250], [0.273, 0.546, 0.130], [0.727, 0.454, 0.630], [0.727, 0.454, 0.870], [0.273, 0.546, 0.370], [0.000, 0.000, 0.500], [0.000, 0.000, 0.000], [0.444, 0.889, 0.750], [0.556, 0.111, 0.250]],
  "dos_ef_per_ev_atom": 0.36,
  "e_form_raw_mev_per_atom": -890,
  "spacegroup": "Cmcm, No. 63"
}

***

2.
{
  "formula": "CaCeTlSb",
  "functional": "PBE",
  "state": "relaxed",
  "cell": [[-0.072, -5.367, 1.108], [2.970, -3.465, -3.035], [4.428, -2.416, 2.143]],
  "species": ["Sb", "Tl", "Ca", "Ce"],
  "fractional_positions": [[0.500, 0.500, 0.500], [0.000, 0.000, 0.000], [0.750, 0.750, 0.750], [0.250, 0.250, 0.250]],
  "dos_ef_per_ev_atom": 1.93,
  "e_form_raw_mev_per_atom": -528,
  "spacegroup": "F-43m, No. 216"
}

***

3.
{
  "formula": "RbCaAg3",
  "functional": "PBE",
  "state": "relaxed",
  "cell": [[5.824, 0.000, 0.000], [0.000, 5.824, 0.000], [0.000, 0.000, 5.824]],
  "species": ["Ca", "Rb", "Ag", "Ag", "Ag"],
  "fractional_positions": [[0.000, 0.000, 0.000], [0.500, 0.500, 0.500], [0.000, 0.500, 0.000], [0.000, 0.000, 0.500], [0.500, 0.000, 0.000]],
  "dos_ef_per_ev_atom": 0.04,
  "e_form_ev_per_atom": 0.29,
  "spacegroup": "Pm-3m, No. 221",
  "e_above_lowest_polymorph_mev_per_atom": 0.0
}

***

4.
{
  "formula": "ScHgB",
  "functional": "PBE",
  "state": "relaxed",
  "cell": [[-5.893, 0.788, 2.578], [0.924, -2.100, 2.746], [0.980, 4.676, 0.900]],
  "species": ["Sc", "Sc", "B", "B", "Hg", "Hg"],
  "fractional_positions": [[0.192, 0.699, 0.188], [0.496, 0.991, 0.769], [0.414, 0.279, 0.345], [0.270, 0.424, 0.636], [0.770, 0.257, 0.314], [0.983, 0.981, 0.755]],
  "dos_ef_per_ev_atom": 0.77,
  "e_form_ev_per_atom": -0.18,
  "spacegroup": "P1, No. 1",
  "e_above_lowest_polymorph_mev_per_atom": 330.1
}

***

5.
{
  "formula": "AcPaRu2",
  "functional": "PBE",
  "state": "relaxed",
  "cell": [[-2.185, 0.162, 2.673], [3.820, -1.091, 3.189], [0.993, 4.970, 0.511]],
  "species": ["Ru", "Ru", "Ac", "Pa"],
  "fractional_positions": [[0.000, 0.000, 0.500], [0.000, 0.500, 0.000], [0.500, 0.000, 0.000], [0.500, 0.500, 0.500]],
  "dos_ef_per_ev_atom": 1.26,
  "e_form_ev_per_atom": 0.01,
  "spacegroup": "P4/mmm, No. 123",
  "e_above_lowest_polymorph_mev_per_atom": 455.6
}

***

6.
{
  "formula": "HfMgCo",
  "functional": "PBE",
  "state": "relaxed",
  "cell": [[3.120, 0.000, 0.000], [0.000, 3.120, 0.000], [-1.560, -1.560, 5.484]],
  "species": ["Co", "Mg", "Hf"],
  "fractional_positions": [[0.677, 0.677, 0.355], [0.023, 0.023, 0.046], [0.300, 0.300, 0.599]],
  "dos_ef_per_ev_atom": 0.95,
  "e_form_ev_per_atom": -0.09,
  "spacegroup": "I4mm, No. 107",
  "e_above_lowest_polymorph_mev_per_atom": 91.1
}